Computed, not measured: crystalline PrZn3PtRh at its relaxed geometry at the PBE level of DFT.

Cell lengths 5.5064, 6.4181, 7.1491 Å; angles 116.67, 90.00, 90.00 degrees
Last column: nearest neighbours and their distance in Å.
Sites, in units of the cell vectors:
Pr 0.7500 0.2690 0.5380  1 Rh 2.67, 2 Pt 2.92
Pr 0.2500 0.7310 0.4620  1 Rh 2.67, 2 Pt 2.92
Zn 0.2500 0.1415 0.2831  1 Rh 2.58, 1 Pt 2.62
Zn 0.0000 0.3041 0.0000  2 Rh 2.51, 3 Zn 2.51-2.75, 2 Pt 2.71
Zn 0.5000 0.6959 0.0000  2 Rh 2.51, 3 Zn 2.51-2.75, 2 Pt 2.71
Zn 0.5000 0.3041 0.0000  2 Rh 2.51, 3 Zn 2.51-2.75, 2 Pt 2.71
Zn 0.0000 0.6959 0.0000  2 Rh 2.51, 3 Zn 2.51-2.75, 2 Pt 2.71
Zn 0.7500 0.8585 0.7169  1 Rh 2.58, 1 Pt 2.62
Pt 0.2500 0.3462 0.6924  5 Zn 2.62-2.71, 2 Pr 2.92
Pt 0.7500 0.6538 0.3076  5 Zn 2.62-2.71, 2 Pr 2.92
Rh 0.2500 0.9398 0.8795  5 Zn 2.51-2.58, 1 Pr 2.67
Rh 0.7500 0.0602 0.1205  5 Zn 2.51-2.58, 1 Pr 2.67

Summary:
Energy relative to the elements ... -0.4933 eV per atom
Total magnetic moment ... 0.0 μB per formula unit
Space-group type ... Cmcm, No. 63
Total energy ... -49.9 eV per cell

***

Computed, not measured: crystalline RbHF3 at its relaxed geometry at the PBE level of DFT.

Cell lengths 6.6691, 5.6579, 9.8540 Å; angles 102.86, 90.00, 90.00 degrees
Last column: nearest neighbours and their distance in Å.
Sites, in units of the cell vectors:
Rb 0.7044 0.6511 0.1585  6 F 2.77-2.85
Rb 0.2956 0.3489 0.8415  6 F 2.77-2.85
Rb 0.2044 0.3489 0.3415  6 F 2.77-2.85
Rb 0.7956 0.6511 0.6585  6 F 2.77-2.85
H 0.3149 0.7365 0.6590  2 F 1.11-1.19
H 0.6851 0.2635 0.3410  2 F 1.11-1.19
H 0.8149 0.2635 0.8410  2 F 1.11-1.19
H 0.1851 0.7365 0.1590  2 F 1.11-1.19
F 0.0163 0.9560 0.4196  1 F 1.57
F 0.9837 0.0440 0.5804  1 F 1.57
F 0.5163 0.0440 0.0804  1 F 1.57
F 0.4837 0.9560 0.9196  1 F 1.57
F 0.5673 0.1034 0.3043  1 H 1.19
F 0.4327 0.8966 0.6957  1 H 1.19
F 0.0673 0.8966 0.1957  1 H 1.19
F 0.9327 0.1034 0.8043  1 H 1.19
F 0.2171 0.5762 0.6242  1 H 1.11
F 0.7829 0.4238 0.3758  1 H 1.11
F 0.7171 0.4238 0.8758  1 H 1.11
F 0.2829 0.5762 0.1242  1 H 1.11

Summary:
Total magnetic moment ... 0.1 μB per formula unit
Space-group type ... P2_1/c, No. 14
Total energy ... -76.3 eV per cell

***

Computed, not measured: crystalline Si2HgO at its relaxed geometry at the PBE level of DFT.

Cell lengths 4.4308, 4.4308, 4.4308 Å; angles 60.00, 60.00, 60.00 degrees
Last column: nearest neighbours and their distance in Å.
Sites, in units of the cell vectors:
Si 0.2500 0.2500 0.2500  4 O 2.71, 4 Hg 2.71
Si 0.7500 0.7500 0.7500  4 Hg 2.71, 4 O 2.71
Hg 0.5000 0.5000 0.5000  8 Si 2.71
O 0.0000 0.0000 0.0000  8 Si 2.71

Summary:
Uncorrected formation energy ... 0.618 eV/atom
Total magnetic moment ... 0.0 μB per formula unit
Space-group type ... Fm-3m, No. 225
Total energy ... -13.6 eV per cell

***

Computed, not measured: crystalline AgBiPS2 at its relaxed geometry at the PBE level of DFT.

Cell lengths 4.8665, 4.8665, 4.7580 Å; angles 90.00, 90.00, 90.00 degrees
Last column: nearest neighbours and their distance in Å.
Sites, in units of the cell vectors:
P 0.0000 0.0000 0.5000  2 Ag 2.38
S 0.0000 0.5000 0.0000  2 Ag 2.43
S 0.5000 0.0000 0.0000  2 Ag 2.43
Bi 0.5000 0.5000 0.5000  8 S 3.40, 4 P 3.44
Ag 0.0000 0.0000 0.0000  2 P 2.38, 4 S 2.43

Summary:
Uncorrected formation energy ... 0.663 eV/atom
Total magnetic moment ... 0.0 μB per formula unit
Space-group type ... P4/mmm, No. 123
Total energy ... -17.1 eV per cell

***

Computed, not measured: crystalline GaMoCl2 at its relaxed geometry at the PBE level of DFT.

Cell lengths 11.4829, 11.4829, 11.4829 Å; angles 15.56, 15.56, 15.56 degrees
Last column: nearest neighbours and their distance in Å.
Sites, in units of the cell vectors:
Mo 0.5000 0.5000 0.5000  6 Cl 2.49
Ga 0.0000 0.0000 0.0000  6 Ga 3.11
Cl 0.8841 0.8841 0.8841  3 Mo 2.49
Cl 0.1159 0.1159 0.1159  3 Mo 2.49

Summary:
Uncorrected formation energy ... -0.180 eV/atom
Total magnetic moment ... 0.0 μB per formula unit
Space-group type ... R-3m, No. 166
Total energy ... -18.3 eV per cell

***

Computed, not measured: crystalline NdErTm2Sc at its relaxed geometry at the PBE level of DFT.

Cell lengths 7.0615, 8.1240, 6.9015 Å; angles 126.06, 90.00, 90.00 degrees
Last column: nearest neighbours and their distance in Å.
Sites, in units of the cell vectors:
Nd 0.2500 0.7300 0.4600  1 Sc 2.97
Nd 0.7500 0.2700 0.5400  1 Sc 2.97
Er 0.7500 0.7306 0.4613  1 Sc 3.05
Er 0.2500 0.2694 0.5387  1 Sc 3.05
Tm 0.5000 0.3036 0.0000  2 Sc 3.03, 1 Tm 3.19
Tm 0.0000 0.6964 0.0000  2 Sc 3.03, 1 Tm 3.19
Tm 0.5000 0.6964 0.0000  2 Sc 3.03, 1 Tm 3.19
Tm 0.0000 0.3036 0.0000  2 Sc 3.03, 1 Tm 3.19
Sc 0.2500 0.9961 0.9922  1 Nd 2.97, 4 Tm 3.03, 1 Er 3.05
Sc 0.7500 0.0039 0.0078  1 Nd 2.97, 4 Tm 3.03, 1 Er 3.05

Summary:
Energy relative to the elements ... 0.3318 eV per atom
Total magnetic moment ... 0.0 μB per formula unit
Space-group type ... Cmcm, No. 63
Total energy ... -45.9 eV per cell